Entry 1:
Here is an optimized crystal structure of PmSiHO4 from OQMD via LeMat-Bulk. Energies are from PBE-GGA.

abc: 9.289 6.354 7.026
angles: 90.00 129.69 90.00
Positions (direct):
O 0.571 0.708 0.035
O 0.077 0.288 0.603
O 0.289 0.514 0.109
O 0.711 0.486 0.891
O 0.077 0.212 0.103
O 0.237 0.550 0.425
O 0.923 0.712 0.397
O 0.923 0.788 0.897
O 0.571 0.792 0.535
O 0.711 0.014 0.391
O 0.429 0.208 0.465
O 0.763 0.450 0.575
O 0.763 0.050 0.075
O 0.429 0.292 0.965
O 0.237 0.950 0.925
O 0.289 0.986 0.609
Si 0.751 0.623 0.734
Si 0.249 0.377 0.266
Si 0.751 0.877 0.234
Si 0.249 0.123 0.766
H 0.606 0.864 0.438
H 0.394 0.364 0.062
H 0.606 0.636 0.938
H 0.394 0.136 0.562
Pm 0.775 0.363 0.266
Pm 0.225 0.863 0.234
Pm 0.775 0.137 0.766
Pm 0.225 0.637 0.734

Values from the calculation:
For the raw total energy, the calculation gives -7.44 eV/atom.

Entry 2:
Here is an optimized crystal structure of PmSiHO4 from OQMD via LeMat-Bulk. Energies are from PBE-GGA.

abc: 7.817 9.005 17.611
angles: 90.00 90.00 90.00
Positions (direct):
O 0.945 0.503 0.209
O 0.146 0.902 0.585
O 0.079 0.635 0.333
O 0.722 0.892 0.499
O 0.146 0.598 0.085
O 0.319 0.643 0.774
O 0.555 0.003 0.209
O 0.445 0.997 0.791
O 0.847 0.388 0.075
O 0.653 0.888 0.075
O 0.412 0.126 0.650
O 0.354 0.098 0.085
O 0.579 0.635 0.167
O 0.646 0.598 0.415
O 0.421 0.365 0.833
O 0.088 0.874 0.150
O 0.354 0.402 0.585
O 0.347 0.112 0.925
O 0.854 0.098 0.415
O 0.854 0.402 0.915
O 0.945 0.997 0.709
O 0.778 0.392 0.499
O 0.681 0.143 0.726
O 0.579 0.865 0.667
O 0.445 0.503 0.291
O 0.222 0.608 0.501
O 0.819 0.643 0.726
O 0.778 0.108 0.999
O 0.055 0.497 0.791
O 0.912 0.126 0.850
O 0.924 0.670 0.492
O 0.412 0.374 0.150
O 0.819 0.857 0.226
O 0.576 0.170 0.492
O 0.181 0.143 0.774
O 0.153 0.888 0.425
O 0.576 0.330 0.992
O 0.055 0.003 0.291
O 0.424 0.830 0.508
O 0.588 0.626 0.850
O 0.555 0.497 0.709
O 0.076 0.330 0.508
O 0.347 0.388 0.425
O 0.076 0.170 0.008
O 0.912 0.374 0.350
O 0.424 0.670 0.008
O 0.278 0.108 0.501
O 0.653 0.612 0.575
O 0.924 0.830 0.992
O 0.181 0.357 0.274
O 0.722 0.608 0.999
O 0.153 0.612 0.925
O 0.588 0.874 0.350
O 0.921 0.365 0.667
O 0.088 0.626 0.650
O 0.421 0.135 0.333
O 0.646 0.902 0.915
O 0.921 0.135 0.167
O 0.681 0.357 0.226
O 0.278 0.392 0.001
O 0.847 0.112 0.575
O 0.079 0.865 0.833
O 0.319 0.857 0.274
O 0.222 0.892 0.001
Si 0.477 0.980 0.295
Si 0.255 0.071 0.005
Si 0.255 0.429 0.505
Si 0.245 0.929 0.505
Si 0.745 0.571 0.495
Si 0.023 0.480 0.295
Si 0.977 0.980 0.205
Si 0.523 0.020 0.705
Si 0.245 0.571 0.005
Si 0.755 0.429 0.995
Si 0.477 0.520 0.795
Si 0.023 0.020 0.795
Si 0.523 0.480 0.205
Si 0.745 0.929 0.995
Si 0.755 0.071 0.495
Si 0.977 0.520 0.705
Pm 0.135 0.314 0.883
Pm 0.875 0.827 0.375
Pm 0.875 0.673 0.875
Pm 0.125 0.327 0.125
Pm 0.375 0.673 0.625
Pm 0.365 0.686 0.383
Pm 0.865 0.814 0.617
Pm 0.625 0.173 0.875
Pm 0.125 0.173 0.625
Pm 0.865 0.686 0.117
Pm 0.375 0.827 0.125
Pm 0.625 0.327 0.375
Pm 0.635 0.186 0.117
Pm 0.365 0.814 0.883
Pm 0.135 0.186 0.383
Pm 0.635 0.314 0.617
H 0.300 0.408 0.282
H 0.300 0.092 0.782
H 0.800 0.408 0.218
H 0.942 0.365 0.504
H 0.800 0.092 0.718
H 0.700 0.908 0.218
H 0.058 0.635 0.496
H 0.558 0.635 0.004
H 0.442 0.365 0.996
H 0.442 0.135 0.496
H 0.200 0.908 0.282
H 0.558 0.865 0.504
H 0.942 0.135 0.004
H 0.058 0.865 0.996
H 0.700 0.592 0.718
H 0.200 0.592 0.782

Values from the calculation:
For the raw total energy, the calculation gives -7.46 eV/atom.

Entry 3:
Here is an optimized crystal structure of PmSiHO4 from OQMD via LeMat-Bulk. Energies are from PBE-GGA.

abc: 4.883 9.315 6.553
angles: 90.00 90.00 90.00
Positions (direct):
Si 0.214 0.537 0.250
Si 0.714 0.963 0.750
Si 0.786 0.463 0.750
Si 0.286 0.037 0.250
O 0.258 0.364 0.250
O 0.376 0.608 0.447
O 0.758 0.136 0.750
O 0.376 0.608 0.053
O 0.391 0.933 0.750
O 0.242 0.864 0.250
O 0.109 0.433 0.750
O 0.124 0.108 0.447
O 0.124 0.108 0.053
O 0.876 0.892 0.947
O 0.624 0.392 0.947
O 0.624 0.392 0.553
O 0.609 0.067 0.250
O 0.876 0.892 0.553
O 0.891 0.567 0.250
O 0.742 0.636 0.750
Pm 0.801 0.289 0.250
Pm 0.301 0.211 0.750
Pm 0.699 0.789 0.250
Pm 0.199 0.711 0.750
H 0.500 0.500 0.500
H 0.500 0.500 0.000
H 0.000 0.000 0.500
H 0.000 0.000 0.000

Values from the calculation:
For the raw total energy, the calculation gives -7.36 eV/atom.

Record-wise mass density values, in g/cm³: 4.96; 5.10; 5.31